DFT (PBE) results for a relaxed structure of TbSm5Ho2Th.

As for the formation energy: 159 meV per atom.

The space group is Cmc2_1 (No. 36) and the conventional cell measures 5.6452, 20.3371 and 10.5373 Å, with angles of 90.00, 90.00 and 90.00 degrees. The inequivalent atoms are Tb at (0.0000, 0.0922, 0.0000), Sm at (0.0000, 0.0208, 0.2893), Sm at (0.0000, 0.1116, 0.5732), Sm at (0.0000, 0.2053, 0.2513), Sm at (0.0000, 0.2232, 0.8592), Sm at (0.0000, 0.4848, 0.5672), Ho at (0.0000, 0.3847, 0.8622), Ho at (0.0000, 0.3876, 0.2828) and Th at (0.0000, 0.3009, 0.5589).